Computed, not measured: a geometry-optimized YTiCo2O structure at the PBEsol level of DFT.

Properties
Symmetry ... P4/mmm

a b c (Å): 4.0894 4.7005 4.7005
angles (deg): 90.00 90.00 90.00
Closest atoms and distances in Å follow each position.
Fractional positions:
Y: 0.0000 0.0000 0.0000  2 O 2.04
Co: 0.0000 0.0000 0.5000  2 Y 2.35
Co: 0.0000 0.5000 0.0000  2 Y 2.35
O: 0.5000 0.0000 0.0000  2 Y 2.04
Ti: 0.5000 0.5000 0.5000  8 Co 3.12, 4 O 3.32

Computed, not measured: a geometry-optimized Tl3Co3O8 structure at the PBEsol level of DFT.

Properties
Symmetry ... Pmc2_1

a b c (Å): 5.3878 5.3533 11.0364
angles (deg): 90.00 90.00 90.00
Closest atoms and distances in Å follow each position.
Fractional positions:
Tl: 0.7850 0.7367 0.0000  6 O 2.26-2.51
Tl: 0.2849 0.2633 0.0000  6 O 2.26-2.51
Tl: 0.7099 0.7368 0.6823  6 O 2.25-2.45
Tl: 0.2099 0.2634 0.3177  6 O 2.25-2.45
Tl: 0.7099 0.7368 0.3177  6 O 2.25-2.45
Tl: 0.2099 0.2634 0.6822  6 O 2.25-2.45
Co: 0.7110 0.1937 0.5000  4 O 1.89-1.92
Co: 0.7470 0.2436 0.1669  6 O 1.92-2.01
Co: 0.7470 0.2436 0.8331  6 O 1.92-2.01
Co: 0.2110 0.8066 0.5000  4 O 1.89-1.92
Co: 0.2470 0.7565 0.8331  6 O 1.92-2.01
Co: 0.2470 0.7565 0.1669  6 O 1.92-2.01
O: 0.9704 0.9707 0.7937  2 Co 1.93-1.94
O: 0.4704 0.0295 0.2063  2 Co 1.93-1.94
O: 0.4704 0.0295 0.7937  2 Co 1.93-1.94
O: 0.9704 0.9707 0.2063  2 Co 1.93-1.94
O: 0.8651 0.8699 0.5000  2 Co 1.89-1.92
O: 0.3651 0.1304 0.5000  2 Co 1.89-1.92
O: 0.2034 0.8487 0.0000  2 Co 1.92
O: 0.7034 0.1513 0.0000  2 Co 1.92
O: 0.2781 0.6750 0.6562  2 Co 1.90-2.01
O: 0.7781 0.3252 0.3438  2 Co 1.90-2.01
O: 0.2781 0.6750 0.3438  2 Co 1.90-2.01
O: 0.7781 0.3252 0.6562  2 Co 1.90-2.01
O: 0.5351 0.5386 0.8628  2 Co 1.97-1.98
O: 0.0351 0.4615 0.1372  2 Co 1.97-1.98
O: 0.0351 0.4615 0.8628  2 Co 1.97-1.98
O: 0.5351 0.5386 0.1372  2 Co 1.97-1.98

Computed, not measured: a geometry-optimized TlCo3O structure at the PBEsol level of DFT.

Properties
Symmetry ... Pm-3m

a b c (Å): 4.7158 4.7158 4.7158
angles (deg): 90.00 90.00 90.00
Closest atoms and distances in Å follow each position.
Fractional positions:
Tl: 0.0000 0.0000 0.0000  6 Co 2.36
Co: 0.0000 0.5000 0.0000  2 Tl 2.36
Co: 0.0000 0.0000 0.5000  2 Tl 2.36
Co: 0.5000 0.0000 0.0000  2 Tl 2.36
O: 0.5000 0.5000 0.5000  12 Co 3.33

Computed, not measured: a geometry-optimized VCoO3 structure at the PBEsol level of DFT.

Properties
Symmetry ... R-3

a b c (Å): 4.8062 4.8061 5.4305
angles (deg): 116.25 90.00 120.01
Closest atoms and distances in Å follow each position.
Fractional positions:
V: 0.3476 0.6952 0.0427  6 O 1.84-2.03
V: 0.6524 0.3048 0.9573  6 O 1.84-2.03
Co: 0.8449 0.6899 0.5349  6 O 1.97-2.08
Co: 0.1551 0.3101 0.4652  6 O 1.97-2.08
O: 0.7366 0.8090 0.2377  2 V 1.84-2.03, 1 Co 1.97
O: 0.2634 0.1910 0.7623  2 V 1.84-2.03, 1 Co 1.97
O: 0.5711 0.8347 0.7621  2 V 1.84-2.03, 1 Co 1.97
O: 0.4289 0.1653 0.2379  2 V 1.84-2.03, 1 Co 1.97
O: 0.0725 0.5013 0.2378  2 V 1.84-2.03, 1 Co 1.97
O: 0.9275 0.4987 0.7622  2 V 1.84-2.03, 1 Co 1.97

Computed, not measured: a geometry-optimized VCoO3 structure at the PBEsol level of DFT.

Properties
Symmetry ... Pm-3m

a b c (Å): 3.6896 3.6896 3.6896
angles (deg): 90.00 90.00 90.00
Closest atoms and distances in Å follow each position.
Fractional positions:
V: 0.5000 0.5000 0.5000  6 O 1.84
Co: 0.0000 0.0000 0.0000  12 O 2.61
O: 0.5000 0.5000 0.0000  2 V 1.84
O: 0.5000 0.0000 0.5000  2 V 1.84
O: 0.0000 0.5000 0.5000  2 V 1.84

Computed, not measured: a geometry-optimized V3Co5O16 structure at the PBEsol level of DFT.

Properties
Symmetry ... Cm

a b c (Å): 5.4761 5.4761 8.6695
angles (deg): 90.69 90.69 61.41
Closest atoms and distances in Å follow each position.
Fractional positions:
V: 0.1425 0.1425 0.7874  5 O 1.78-1.95
V: 0.8268 0.3221 0.2891  5 O 1.76-1.93
V: 0.3221 0.8268 0.2891  5 O 1.76-1.93
Co: 0.6579 0.1658 0.7944  6 O 1.82-1.93
Co: 0.3327 0.3327 0.5252  6 O 1.84-1.89
Co: 0.1658 0.6579 0.7944  6 O 1.82-1.93
Co: 0.8415 0.8415 0.2865  6 O 1.84-1.97
Co: 0.6732 0.6732 0.0149  6 O 1.83-1.89
O: 0.6540 0.1930 0.4049  1 V 1.76, 1 Co 1.87
O: 0.4771 0.4771 0.6698  3 Co 1.84-1.86
O: 0.3327 0.3327 0.9000  2 Co 1.82, 1 V 2.03
O: 0.9868 0.9868 0.6687  1 V 1.78, 2 Co 1.93
O: 0.0085 0.0085 0.1641  2 V 1.86, 1 Co 1.91
O: 0.1930 0.6540 0.4049  1 V 1.76, 1 Co 1.87
O: 0.4699 0.0415 0.6615  2 Co 1.84-1.86, 1 V 1.95
O: 0.0415 0.4699 0.6615  2 Co 1.84-1.86, 1 V 1.95
O: 0.8347 0.8347 0.8999  3 Co 1.83-1.84
O: 0.1710 0.1710 0.3943  2 V 1.88, 1 Co 1.89
O: 0.9586 0.5334 0.1614  2 Co 1.84-1.86, 1 V 1.98
O: 0.5334 0.9586 0.1614  2 Co 1.84-1.86, 1 V 1.98
O: 0.6748 0.6748 0.3952  1 Co 1.84, 2 V 1.93
O: 0.8361 0.3452 0.9014  1 V 1.80, 2 Co 1.85-1.91
O: 0.5201 0.5201 0.1530  1 Co 1.89, 2 V 1.91
O: 0.3452 0.8361 0.9014  1 V 1.80, 2 Co 1.85-1.91

Computed, not measured: a geometry-optimized V2CoO4 structure at the PBEsol level of DFT.

Properties
Symmetry ... Fd-3m

a b c (Å): 5.8240 5.8240 5.8240
angles (deg): 60.00 60.00 60.00
Closest atoms and distances in Å follow each position.
Fractional positions:
V: 0.1250 0.1250 0.1250  6 O 1.99
V: 0.6250 0.1250 0.1250  6 O 1.99
V: 0.1250 0.6250 0.1250  6 O 1.99
V: 0.1250 0.1250 0.6250  6 O 1.99
Co: 0.5000 0.5000 0.5000  4 O 1.90
Co: 0.7500 0.7500 0.7500  4 O 1.90
O: 0.3665 0.9005 0.3665  1 Co 1.90, 3 V 1.99
O: 0.3665 0.3665 0.9005  1 Co 1.90, 3 V 1.99
O: 0.3665 0.3665 0.3665  1 Co 1.90, 3 V 1.99
O: 0.9005 0.3665 0.3665  1 Co 1.90, 3 V 1.99
O: 0.3495 0.8835 0.8835  1 Co 1.90, 3 V 1.99
O: 0.8835 0.8835 0.8835  1 Co 1.90, 3 V 1.99
O: 0.8835 0.8835 0.3495  1 Co 1.90, 3 V 1.99
O: 0.8835 0.3495 0.8835  1 Co 1.90, 3 V 1.99

Computed, not measured: a geometry-optimized CoWO4 structure at the PBEsol level of DFT.

Properties
Symmetry ... P2/c

a b c (Å): 4.5875 4.8973 5.6329
angles (deg): 90.00 90.00 89.56
Closest atoms and distances in Å follow each position.
Fractional positions:
Co: 0.5000 0.2500 0.6450  6 O 2.02-2.04
Co: 0.5000 0.7500 0.3550  6 O 2.02-2.04
O: 0.7406 0.0935 0.3751  1 W 1.82, 2 Co 2.02-2.03
O: 0.2242 0.4232 0.8865  2 W 1.92-2.09, 1 Co 2.04
O: 0.7406 0.5935 0.6249  1 W 1.82, 2 Co 2.02-2.03
O: 0.2242 0.9232 0.1135  2 W 1.92-2.09, 1 Co 2.04
O: 0.2594 0.9065 0.6249  1 W 1.82, 2 Co 2.02-2.03
O: 0.2594 0.4065 0.3751  1 W 1.82, 2 Co 2.02-2.03
O: 0.7758 0.5768 0.1135  2 W 1.92-2.09, 1 Co 2.04
O: 0.7758 0.0768 0.8865  2 W 1.92-2.09, 1 Co 2.04
W: 0.0000 0.7500 0.8279  4 O 1.82-1.92
W: 0.0000 0.2500 0.1721  4 O 1.82-1.92

no.,DFT total energy (eV/atom),N(E_F) (states/eV per cell),E_form (uncorrected) (eV/f.u.)
1,-6.4799,5.8,3.469
2,-5.9323,10.7,-9.956
3,-3.8881,12.9,11.650
4,-8.3735,6.4,-8.748
5,-7.8528,3.9,-6.145
6,-7.8093,11.3,-35.845
7,-8.7223,9.2,-13.053
8,-8.7337,8.5,-9.860